[1]
Cs6CdAg2 | PBE | optimized geometry

```
data_Cs6CdAg2
_cell_length_a 11.441
_cell_length_b 11.441
_cell_length_c 11.441
_cell_angle_alpha 111.98
_cell_angle_beta 110.90
_cell_angle_gamma 105.60
_space_group_name_H-M_alt 'P 1'
_space_group_IT_number 1
_space_group_name_Hall 'P 1'
loop_
_atom_site_label
_atom_site_type_symbol
_atom_site_fract_x
_atom_site_fract_y
_atom_site_fract_z
_atom_site_occupancy
Cs1 Cs 0.029 0.229 0.800 1
Cs2 Cs 0.181 0.290 0.470 1
Cs3 Cs 0.181 0.710 0.891 1
Cs4 Cs 0.326 0.019 0.693 1
Cs5 Cs 0.326 0.633 0.307 1
Cs6 Cs 0.430 0.229 0.200 1
Cs7 Cs 0.570 0.771 0.800 1
Cs8 Cs 0.674 0.367 0.693 1
Cs9 Cs 0.674 0.981 0.307 1
Cs10 Cs 0.819 0.290 0.109 1
Cs11 Cs 0.819 0.710 0.530 1
Cs12 Cs 0.971 0.771 0.200 1
Cd1 Cd 0.000 0.000 0.000 1
Cd2 Cd 0.500 0.500 0.000 1
Ag1 Ag 0.104 0.604 0.500 1
Ag2 Ag 0.386 0.000 0.386 1
Ag3 Ag 0.614 0.000 0.614 1
Ag4 Ag 0.896 0.396 0.500 1
```

Calculated values
total DFT energy (no corrections) = -1.2815 eV/atom
M_tot = 0.00 μB/f.u.
formation enthalpy at 0 K = 0.02 eV per atom

---

[2]
TiSe2N | PBE | optimized geometry

```
data_TiSe2N
_cell_length_a 5.323
_cell_length_b 5.323
_cell_length_c 11.197
_cell_angle_alpha 90.00
_cell_angle_beta 90.00
_cell_angle_gamma 90.00
_space_group_name_H-M_alt 'P 1'
_space_group_IT_number 1
_space_group_name_Hall 'P 1'
loop_
_atom_site_label
_atom_site_type_symbol
_atom_site_fract_x
_atom_site_fract_y
_atom_site_fract_z
_atom_site_occupancy
Ti1 Ti 0.000 0.000 0.000 1
Ti2 Ti 0.000 0.500 0.250 1
Ti3 Ti 0.500 0.000 0.750 1
Ti4 Ti 0.500 0.500 0.500 1
Se1 Se 0.205 0.250 0.625 1
Se2 Se 0.250 0.705 0.875 1
Se3 Se 0.250 0.795 0.375 1
Se4 Se 0.295 0.250 0.125 1
Se5 Se 0.705 0.750 0.125 1
Se6 Se 0.750 0.205 0.375 1
Se7 Se 0.750 0.295 0.875 1
Se8 Se 0.795 0.750 0.625 1
N1 N 0.000 0.000 0.500 1
N2 N 0.000 0.500 0.750 1
N3 N 0.500 0.000 0.250 1
N4 N 0.500 0.500 0.000 1
```

Calculated values
formation energy from raw total energies = 519 meV per atom
total DFT energy (no corrections) = -5.2783 eV/atom
M_tot = 0.71 μB/f.u.
polymorph energy (0 for the lowest one) = 0.253 eV per atom

---

[3]
Na12Hg5P3 | PBE | optimized geometry

```
data_Na12Hg5P3
_cell_length_a 14.878
_cell_length_b 14.878
_cell_length_c 14.878
_cell_angle_alpha 109.47
_cell_angle_beta 109.47
_cell_angle_gamma 109.47
_space_group_name_H-M_alt 'P 1'
_space_group_IT_number 1
_space_group_name_Hall 'P 1'
loop_
_atom_site_label
_atom_site_type_symbol
_atom_site_fract_x
_atom_site_fract_y
_atom_site_fract_z
_atom_site_occupancy
Na1 Na 0.067 0.642 0.399 1
Na2 Na 0.067 0.925 0.668 1
Na3 Na 0.075 0.243 0.142 1
Na4 Na 0.075 0.332 0.933 1
Na5 Na 0.101 0.743 0.668 1
Na6 Na 0.101 0.858 0.433 1
Na7 Na 0.142 0.075 0.243 1
Na8 Na 0.142 0.567 0.899 1
Na9 Na 0.168 0.243 0.601 1
Na10 Na 0.168 0.425 0.567 1
Na11 Na 0.243 0.142 0.075 1
Na12 Na 0.243 0.601 0.168 1
Na13 Na 0.257 0.332 0.899 1
Na14 Na 0.257 0.425 0.358 1
Na15 Na 0.332 0.899 0.257 1
Na16 Na 0.332 0.933 0.075 1
Na17 Na 0.358 0.257 0.425 1
Na18 Na 0.358 0.601 0.933 1
Na19 Na 0.399 0.067 0.642 1
Na20 Na 0.399 0.832 0.757 1
Na21 Na 0.425 0.358 0.257 1
Na22 Na 0.425 0.567 0.168 1
Na23 Na 0.433 0.101 0.858 1
Na24 Na 0.433 0.832 0.575 1
Na25 Na 0.567 0.168 0.425 1
Na26 Na 0.567 0.899 0.142 1
Na27 Na 0.575 0.433 0.832 1
Na28 Na 0.575 0.642 0.743 1
Na29 Na 0.601 0.168 0.243 1
Na30 Na 0.601 0.933 0.358 1
Na31 Na 0.642 0.399 0.067 1
Na32 Na 0.642 0.743 0.575 1
Na33 Na 0.668 0.067 0.925 1
Na34 Na 0.668 0.101 0.743 1
Na35 Na 0.743 0.575 0.642 1
Na36 Na 0.743 0.668 0.101 1
Na37 Na 0.757 0.399 0.832 1
Na38 Na 0.757 0.858 0.925 1
Na39 Na 0.832 0.575 0.433 1
Na40 Na 0.832 0.757 0.399 1
Na41 Na 0.858 0.433 0.101 1
Na42 Na 0.858 0.925 0.757 1
Na43 Na 0.899 0.142 0.567 1
Na44 Na 0.899 0.257 0.332 1
Na45 Na 0.925 0.668 0.067 1
Na46 Na 0.925 0.757 0.858 1
Na47 Na 0.933 0.075 0.332 1
Na48 Na 0.933 0.358 0.601 1
Hg1 Hg 0.000 0.000 0.000 1
Hg2 Hg 0.000 0.000 0.500 1
Hg3 Hg 0.000 0.500 0.000 1
Hg4 Hg 0.000 0.500 0.500 1
Hg5 Hg 0.125 0.750 0.875 1
Hg6 Hg 0.125 0.875 0.250 1
Hg7 Hg 0.250 0.125 0.875 1
Hg8 Hg 0.250 0.625 0.375 1
Hg9 Hg 0.375 0.250 0.625 1
Hg10 Hg 0.375 0.625 0.750 1
Hg11 Hg 0.500 0.000 0.000 1
Hg12 Hg 0.500 0.000 0.500 1
Hg13 Hg 0.500 0.500 0.000 1
Hg14 Hg 0.500 0.500 0.500 1
Hg15 Hg 0.625 0.375 0.250 1
Hg16 Hg 0.625 0.750 0.375 1
Hg17 Hg 0.750 0.375 0.625 1
Hg18 Hg 0.750 0.875 0.125 1
Hg19 Hg 0.875 0.125 0.750 1
Hg20 Hg 0.875 0.250 0.125 1
P1 P 0.125 0.250 0.375 1
P2 P 0.125 0.375 0.750 1
P3 P 0.250 0.375 0.125 1
P4 P 0.250 0.875 0.625 1
P5 P 0.375 0.125 0.250 1
P6 P 0.375 0.750 0.125 1
P7 P 0.625 0.250 0.875 1
P8 P 0.625 0.875 0.750 1
P9 P 0.750 0.125 0.375 1
P10 P 0.750 0.625 0.875 1
P11 P 0.875 0.625 0.250 1
P12 P 0.875 0.750 0.625 1
```

Calculated values
total DFT energy (no corrections) = -1.7400 eV/atom
M_tot = 0.00 μB/f.u.
formation enthalpy at 0 K = -0.06 eV per atom

---

[4]
K3Ce2TlSe6 | PBE | optimized geometry

```
data_K3Ce2TlSe6
_cell_length_a 7.676
_cell_length_b 7.676
_cell_length_c 7.994
_cell_angle_alpha 99.33
_cell_angle_beta 99.33
_cell_angle_gamma 119.92
_space_group_name_H-M_alt 'P 1'
_space_group_IT_number 1
_space_group_name_Hall 'P 1'
loop_
_atom_site_label
_atom_site_type_symbol
_atom_site_fract_x
_atom_site_fract_y
_atom_site_fract_z
_atom_site_occupancy
K1 K 0.000 0.000 0.000 1
K2 K 0.345 0.655 0.000 1
K3 K 0.655 0.345 0.000 1
Ce1 Ce 0.168 0.832 0.500 1
Ce2 Ce 0.832 0.168 0.500 1
Tl1 Tl 0.500 0.500 0.500 1
Se1 Se 0.059 0.429 0.291 1
Se2 Se 0.201 0.201 0.706 1
Se3 Se 0.429 0.059 0.291 1
Se4 Se 0.571 0.941 0.709 1
Se5 Se 0.799 0.799 0.294 1
Se6 Se 0.941 0.571 0.709 1
```

Calculated values
formation energy from raw total energies = -1407 meV per atom
total DFT energy (no corrections) = -4.6100 eV/atom
M_tot = 0.26 μB/f.u.